## MgHgMoF6 (PBE+U)

Data for MgHgMoF6 after structural relaxation.

a = 5.594 Å, b = 5.594 Å, c = 11.169 Å
α = 90.00°, β = 90.00°, γ = 120.00°
Atoms (fractional coordinates):
Mg: 0.333 0.667 0.250
Mg: 0.667 0.333 0.750
Hg: 0.000 0.000 0.000
Hg: 0.000 0.000 0.500
Mo: 0.333 0.667 0.750
Mo: 0.667 0.333 0.250
F: 0.010 0.375 0.154
F: 0.010 0.635 0.346
F: 0.365 0.375 0.346
F: 0.365 0.990 0.154
F: 0.375 0.010 0.654
F: 0.375 0.365 0.846
F: 0.625 0.635 0.154
F: 0.625 0.990 0.346
F: 0.635 0.010 0.846
F: 0.635 0.625 0.654
F: 0.990 0.365 0.654
F: 0.990 0.625 0.846

Results
Calculated density, g/cm3: 4.8
SG: No. 163
Total DFT energy (no corrections), eV/atom: -4.701